Entry from Alexandria: crystalline Ce4PmTh3Se8 at its relaxed geometry (PBE).

The space group is R-3m (No. 166, hexagonal axes) and the conventional cell measures 8.3839, 8.3839 and 20.6361 Å, with angles of 90.00, 90.00 and 120.00 degrees. The asymmetric unit holds Ce at (0.0000, 0.0000, 0.0000), Ce at (0.0000, 0.5000, 0.0000), Pm at (0.0000, 0.0000, 0.5000), Th at (0.0000, 0.5000, 0.5000), Se at (0.0000, 0.0000, 0.2509) and Se at (0.0018, 0.5009, 0.2504).

Its uncorrected formation energy is -1.72 eV/atom. As for the density of states at the Fermi level: 1.689 states/eV/atom. As for the magnetic moment: 0.218 μB/atom. The crystal system is trigonal. For the volume, the calculation gives 26.171 A^3/atom.